DFT (PBE) results for crystalline LiNdAgAu at its relaxed geometry.

a b c (Å): 4.631 5.469 4.630
angles (deg): 115.02 120.01 90.00
Atoms (fractional coordinates):
Li: 0.255 0.764 0.509
Nd: 0.748 0.244 0.496
Ag: 0.532 0.596 0.064
Au: 0.965 0.896 0.930

- V: 89 Å³/f.u.
- Space group: No. 160
- Energy: -3.672 eV per atom
- Density of states at the Fermi level: 2.23 states/eV/f.u.